## Rb3Ac3TmTe8 (GGA-PBE)

Data for an optimized crystal structure of Rb3Ac3TmTe8.

```
15
Lattice="9.506 0.001 0.000 -4.752 8.245 -0.036 0.000 -5.465 8.791" Properties=species:S:1:pos:R:3 pbc="T T T"
Rb 0.000 0.000 0.000
Rb -2.376 4.122 -0.018
Rb 2.377 4.123 -0.018
Ac 4.753 -2.732 4.395
Ac 2.377 1.390 4.377
Ac -2.376 1.390 4.377
Tm 0.000 -2.733 4.395
Te 0.000 2.757 2.483
Te 4.753 0.022 6.271
Te 4.753 2.944 2.622
Te 0.000 -0.164 6.133
Te 7.290 -1.457 2.640
Te -2.537 4.237 6.114
Te 2.215 -1.458 2.640
Te 2.538 4.238 6.114
```

Output
Symmetry = C2/m (12)
Formation energy (no corrections) = -1358 meV/atom
Spin magnetization = 0.0 μB/f.u.

---

## Rb2AcUTe4 (GGA-PBE)

Data for an optimized crystal structure of Rb2AcUTe4.

```
8
Lattice="4.734 0.000 0.000 0.000 8.215 0.140 0.000 -2.883 8.540" Properties=species:S:1:pos:R:3 pbc="T T T"
Rb 2.367 -1.442 4.270
Rb 0.000 2.666 4.340
Ac 2.367 4.107 0.070
U 0.000 0.000 0.000
Te 2.367 1.230 1.766
Te 2.367 4.102 6.914
Te 0.000 -0.222 6.771
Te 0.000 5.553 1.908
```

Output
Symmetry = P2/m (10)
Formation energy (no corrections) = -1141 meV/atom
Spin magnetization = 3.0 μB/f.u.

---

## Rb3Ac2UTe6 (GGA-PBE)

Data for an optimized crystal structure of Rb3Ac2UTe6.

```
12
Lattice="8.317 -0.001 -0.001 -4.158 7.203 -0.001 -1.388 -2.403 8.581" Properties=species:S:1:pos:R:3 pbc="T T T"
Rb -2.740 4.782 4.290
Rb 5.511 0.016 4.290
Rb 1.386 2.399 4.290
Ac 0.005 4.799 -0.001
Ac 4.154 2.403 -0.001
U 0.000 0.000 0.000
Te 4.106 2.489 6.786
Te 2.826 4.894 1.799
Te -1.335 2.310 1.793
Te 0.104 4.800 6.786
Te -0.055 -0.095 6.780
Te 2.668 -0.002 1.793
```

Output
Symmetry = C2/m (12)
Formation energy (no corrections) = -1258 meV/atom
Spin magnetization = 3.0 μB/f.u.

---

## Rb3Ac3UTe8 (GGA-PBE)

Data for an optimized crystal structure of Rb3Ac3UTe8.

```
15
Lattice="-4.589 8.322 -1.262 0.004 -4.215 8.600 8.785 4.359 -3.199" Properties=species:S:1:pos:R:3 pbc="T T T"
Rb 0.000 0.000 0.000
Rb 0.002 -2.108 4.300
Rb -2.293 2.053 3.669
Ac 2.098 6.341 -2.231
Ac 2.100 4.233 2.069
Ac 4.395 0.072 2.700
U 4.393 2.180 -1.600
Te 1.312 1.218 3.259
Te 2.888 7.248 0.879
Te -0.922 5.443 2.835
Te 5.122 3.022 1.304
Te -0.925 7.688 -1.747
Te 5.125 0.778 5.885
Te 1.519 3.256 -1.075
Te 2.681 5.210 5.213
```

Output
Symmetry = C2/m (12)
Formation energy (no corrections) = -1301 meV/atom
Spin magnetization = 2.0 μB/f.u.

---

## Rb4Ac3YTe8 (GGA-PBE)

Data for an optimized crystal structure of Rb4Ac3YTe8.

```
16
Lattice="9.586 0.000 0.000 0.000 10.216 0.436 -4.793 -4.789 6.781" Properties=species:S:1:pos:R:3 pbc="T T T"
Rb 4.793 0.000 0.000
Rb 2.397 -2.394 3.391
Rb 0.000 0.000 0.000
Rb -2.397 -2.394 3.391
Ac 4.793 5.108 0.218
Ac 2.397 2.714 3.609
Ac -2.397 2.714 3.609
Y 0.000 5.108 0.218
Te -2.514 2.530 6.949
Te 0.000 5.041 3.393
Te 0.000 0.400 3.669
Te 2.514 2.530 6.949
Te 2.279 2.898 0.268
Te 4.793 5.027 3.549
Te 4.793 0.387 3.824
Te 7.307 2.898 0.268
```

Output
Symmetry = R-3m (166)
Formation energy (no corrections) = -1460 meV/atom
Spin magnetization = 0.0 μB/f.u.

---

## Rb2AcYTe4 (GGA-PBE)

Data for an optimized crystal structure of Rb2AcYTe4.

```
8
Lattice="-0.386 -4.673 -0.402 1.467 -0.808 7.988 -8.897 0.825 -1.050" Properties=species:S:1:pos:R:3 pbc="T T T"
Rb -4.641 -1.924 -0.726
Rb -3.715 0.008 3.469
Ac 0.541 -2.741 3.793
Y 0.000 0.000 0.000
Te -1.666 -2.347 1.332
Te -6.149 -2.310 5.205
Te -6.672 0.452 1.140
Te -0.758 -0.436 5.799
```

Output
Symmetry = P2/m (10)
Formation energy (no corrections) = -1433 meV/atom
Spin magnetization = 0.0 μB/f.u.

---

## Rb3AcY2Te6 (GGA-PBE)

Data for an optimized crystal structure of Rb3AcY2Te6.

```
12
Lattice="8.053 -0.002 -0.003 -4.027 6.974 -0.003 -1.346 -2.330 8.571" Properties=species:S:1:pos:R:3 pbc="T T T"
Rb -2.736 4.675 4.283
Rb 5.417 -0.033 4.283
Rb 1.340 2.321 4.283
Ac 0.000 0.000 0.000
Y -0.006 4.652 -0.003
Y 4.033 2.320 -0.003
Te 4.094 2.192 6.820
Te 2.612 4.522 1.732
Te -1.413 2.450 1.745
Te -0.148 4.642 6.820
Te 0.069 0.120 6.833
Te 2.828 0.000 1.745
```

Output
Symmetry = C2/m (12)
Formation energy (no corrections) = -1423 meV/atom
Spin magnetization = 0.0 μB/f.u.

---

## Rb3Ac2YTe6 (GGA-PBE)

Data for an optimized crystal structure of Rb3Ac2YTe6.

```
12
Lattice="8.253 -0.002 -0.002 -4.126 7.147 -0.002 -1.379 -2.387 8.588" Properties=species:S:1:pos:R:3 pbc="T T T"
Rb -2.712 4.739 4.292
Rb 5.460 0.019 4.292
Rb 1.374 2.379 4.292
Ac 0.006 4.761 -0.002
Ac 4.121 2.384 -0.002
Y 0.000 0.000 0.000
Te 4.053 2.501 6.802
Te 2.825 4.892 1.786
Te -1.305 2.257 1.782
Te 0.141 4.761 6.802
Te -0.077 -0.134 6.798
Te 2.607 -0.002 1.782
```

Output
Symmetry = C2/m (12)
Formation energy (no corrections) = -1454 meV/atom
Spin magnetization = 0.0 μB/f.u.